## CdNi3Os (PBE)

Data for a relaxed CdNi3Os crystal.

Cell and atoms, written as POSCAR:
```
CdNi3Os
1.0
4.530 0.000 0.000
0.000 4.530 0.000
0.000 0.000 4.530
Cd Ni Os
1 3 1
direct
0.000 0.000 0.000
0.000 0.500 0.500
0.500 0.000 0.500
0.500 0.500 0.000
0.500 0.500 0.500
```

Output
Calculated total energy = -23.680 eV per cell
Total magnetization = 0.00 μB/atom
Crystal system = cubic
DFT formation energy = 1.1617 eV per atom

---

## Cd2NiOs (PBE)

Data for a relaxed Cd2NiOs crystal.

Cell and atoms, written as POSCAR:
```
Cd2NiOs
1.0
2.727 0.000 0.000
0.000 4.545 0.000
-0.688 0.000 5.237
Cd Ni Os
2 1 1
direct
0.198 0.000 0.257
0.802 0.000 0.743
0.000 0.500 0.500
0.500 0.500 0.000
```

Output
Calculated total energy = -16.770 eV per cell
Total magnetization = 0.00 μB/atom
Crystal system = monoclinic
DFT formation energy = 0.5177 eV per atom

---

## Cd2NiOs (PBE)

Data for a relaxed Cd2NiOs crystal.

Cell and atoms, written as POSCAR:
```
Cd2NiOs
1.0
2.749 0.000 0.000
0.000 4.127 0.000
0.000 0.000 5.742
Cd Ni Os
2 1 1
direct
0.000 0.000 0.243
0.000 0.000 0.757
0.500 0.500 0.000
0.500 0.500 0.500
```

Output
Calculated total energy = -16.823 eV per cell
Total magnetization = 0.00 μB/atom
Crystal system = orthorhombic
DFT formation energy = 0.5046 eV per atom

---

## Cd2NiOs (PBE)

Data for a relaxed Cd2NiOs crystal.

Cell and atoms, written as POSCAR:
```
Cd2NiOs
1.0
4.095 0.000 0.000
0.000 4.095 0.000
0.000 0.000 7.808
Cd Ni Os
4 2 2
direct
0.000 0.000 0.000
0.000 0.500 0.250
0.500 0.000 0.750
0.500 0.500 0.500
0.000 0.500 0.750
0.500 0.000 0.250
0.000 0.000 0.500
0.500 0.500 0.000
```

Output
Calculated total energy = -33.024 eV per cell
Total magnetization = 0.34 μB/atom
Crystal system = tetragonal
DFT formation energy = 0.5823 eV per atom